# 1
Entry from Alexandria via LeMat-Bulk: a relaxed Tm5InRh crystal (PBE).

Geometry as POSCAR:
```
Tm5InRh
1.0
-1.479 0.469 -6.159
-5.848 -1.958 -1.521
-6.222 9.293 -0.997
Tm Rh In
10 2 2
Cartesian
-10.448 4.337 -5.770
-3.101 3.468 -2.907
-3.121 2.745 -6.317
-2.320 0.289 -3.673
-7.782 7.242 -1.739
-10.428 5.060 -2.361
-11.229 7.516 -5.005
-6.690 3.663 -6.023
-5.767 0.563 -6.939
-6.859 4.142 -2.655
0.000 0.000 0.000
-3.111 4.647 -0.499
-8.158 6.321 -4.770
-5.391 1.483 -3.907
```

Values from the calculation:
**SG**: No. 15
**Energy**: -4.897 eV/atom
**Energy of formation from the pure elements**: -0.26 eV per atom

---

# 2
Entry from Alexandria via LeMat-Bulk: a relaxed U2MnS6 crystal (PBE).

Geometry as POSCAR:
```
U2MnS6
1.0
3.726 0.000 0.000
1.863 5.531 1.434
1.863 3.437 9.648
S U Mn
6 2 1
Cartesian
3.726 6.203 5.484
5.589 4.845 7.872
1.863 4.123 3.210
1.863 1.449 0.930
3.726 2.765 5.598
5.589 7.518 10.152
3.726 6.665 8.460
3.726 2.303 2.622
1.863 4.484 5.541
```

Values from the calculation:
**SG**: No. 12
**Energy**: -7.368 eV/atom
**E above lowest polymorph**: 21 meV per atom
**Formation energy from raw total energies**: -25.11 kcal/mol of atoms

---

# 3
Entry from Alexandria via LeMat-Bulk: a relaxed PrHfTaO6 crystal (PBE).

Geometry as POSCAR:
```
PrHfTaO6
1.0
-5.334 0.854 0.326
1.927 -3.866 -3.260
-0.612 -6.736 7.627
O Ta Pr Hf
12 2 2 2
Cartesian
-1.502 -3.486 1.682
0.263 -5.745 3.691
0.651 -8.249 4.461
-1.978 -9.067 3.527
-2.041 -0.681 1.166
-4.670 -1.500 0.232
-4.282 -4.003 1.003
-3.615 -1.908 2.906
-2.291 -2.842 -0.763
-0.404 -7.840 1.788
-2.517 -6.262 3.012
-1.729 -6.906 5.456
-3.067 -2.403 1.038
-0.952 -7.345 3.656
0.000 0.000 0.000
-0.306 -3.368 3.814
-0.646 -3.977 -0.158
-3.373 -5.771 4.851
```

Values from the calculation:
**SG**: No. 163
**Energy**: -9.537 eV/atom
**Formation energy from raw total energies**: -75.57 kcal/mol of atoms